P:
10
Lattice="-3.0460 -4.9807 5.7251 2.1409 -6.4826 -4.5006 3.0276 -0.0738 1.5466" Properties=species:S:1:pos:R:3 comment="Mn2BrCl2 (PBE, relaxed)" crystal_system=tetragonal magnetic_moment_mub_per_cell=18.01 space_group=P4/mbm dos_at_fermi_per_ev_atom=0.0380 pbc="T T T"
Mn 0.5922 -2.7014 2.4502
Mn -0.3568 -6.9298 4.1061
Mn 2.4793 -4.6073 -1.3350
Mn 1.5303 -8.8357 0.3209
Br 0.0000 0.0000 0.0000
Br -0.4525 -5.7316 0.6123
Cl -1.3010 -8.4173 2.1449
Cl 0.7356 -7.4821 -1.7973
Cl 0.3959 -3.0460 -0.9204
Cl -1.6407 -3.9812 3.0218


Q:
5
Lattice="-1.7412 -1.8193 -2.3842 2.9615 -0.6082 -1.6987 1.8580 -8.8344 2.8623" Properties=species:S:1:pos:R:3 comment="Mn2BrCl2 (PBE, relaxed)" crystal_system=tetragonal magnetic_moment_mub_per_cell=5.27 space_group=I4/mmm dos_at_fermi_per_ev_atom=1.3446 pbc="T T T"
Cl 2.0713 -7.6246 -0.7386
Cl 1.0070 -3.6372 -0.4820
Br 0.0000 0.0000 0.0000
Mn 0.3635 -5.9337 -0.7817
Mn 2.7148 -5.3281 -0.4389


The most stable arrangement is P, and the next structure is 83 meV/atom less stable.


P:
5
Lattice="5.2069 0.0000 0.0000 0.0000 5.2069 0.0000 0.0000 0.0000 4.9304" Properties=species:S:1:pos:R:3 comment="MnSBrCl2 (PBE, relaxed)" crystal_system=tetragonal magnetic_moment_mub_per_cell=5.36 space_group=P4/mmm dos_at_fermi_per_ev_atom=0.7700 pbc="T T T"
Br 0.0000 0.0000 0.0000
Mn 2.6035 2.6035 2.4652
S 0.0000 0.0000 2.4652
Cl 2.6035 0.0000 0.0000
Cl 0.0000 2.6035 0.0000


Q:
5
Lattice="-3.2939 -2.9553 1.5092 1.2311 -3.0630 -3.3112 2.9311 -1.8408 2.7926" Properties=species:S:1:pos:R:3 comment="MnSBrCl2 (PBE, relaxed)" crystal_system=tetragonal magnetic_moment_mub_per_cell=0.15 space_group=P4/mmm dos_at_fermi_per_ev_atom=1.3213 pbc="T T T"
S 1.4656 -0.9204 1.3963
Mn 0.0000 0.0000 0.0000
Cl 0.6155 -1.5315 -1.6556
Cl -1.6469 -1.4777 0.7546
Br 0.4342 -3.9296 0.4953


The most stable arrangement is Q, and the next structure is 567 meV/atom less stable.


P:
5
Lattice="-3.6579 -1.9050 2.9813 -0.4396 -4.0103 -3.1019 3.7628 -2.6658 2.9133" Properties=species:S:1:pos:R:3 comment="MnSeBr2Cl (PBE, relaxed)" crystal_system=tetragonal magnetic_moment_mub_per_cell=5.17 space_group=P4/mmm dos_at_fermi_per_ev_atom=0.3815 pbc="T T T"
Se 1.8814 -1.3329 1.4566
Cl 0.0000 0.0000 0.0000
Br -0.2198 -2.0052 -1.5509
Br -1.8289 -0.9525 1.4907
Mn -0.1674 -4.2906 1.3964


Q:
5
Lattice="4.9773 0.0000 0.0000 0.0000 4.9773 0.0000 0.0000 0.0000 4.5638" Properties=species:S:1:pos:R:3 comment="MnSeBr2Cl (PBE, relaxed)" crystal_system=tetragonal magnetic_moment_mub_per_cell=0.00 space_group=P4/mmm dos_at_fermi_per_ev_atom=1.4623 pbc="T T T"
Cl 2.4887 2.4887 2.2819
Mn 0.0000 0.0000 0.0000
Br 0.0000 2.4887 0.0000
Br 2.4887 0.0000 0.0000
Se 0.0000 0.0000 2.2819


The most stable arrangement is Q, and the next structure is 464 meV/atom less stable.


P:
4
Lattice="0.0000 3.1629 3.1629 3.1629 0.0000 3.1629 3.1629 3.1629 0.0000" Properties=species:S:1:pos:R:3 comment="Mo2BrCl (PBE, relaxed)" crystal_system=cubic magnetic_moment_mub_per_cell=0.00 space_group=Fm-3m dos_at_fermi_per_ev_atom=1.1347 pbc="T T T"
Cl 0.0000 0.0000 0.0000
Mo 4.7444 4.7444 4.7444
Mo 1.5815 1.5815 1.5815
Br 3.1629 3.1629 3.1629


Q:
4
Lattice="5.1577 0.1292 0.0000 1.8009 4.8348 0.0000 -3.4793 -2.4820 2.8901" Properties=species:S:1:pos:R:3 comment="Mo2BrCl (PBE, relaxed)" crystal_system=tetragonal magnetic_moment_mub_per_cell=0.06 space_group=I-4m2 dos_at_fermi_per_ev_atom=0.3093 pbc="T T T"
Mo 0.0000 0.0000 0.0000
Mo 0.9004 2.4174 1.4451
Cl 2.5789 0.0646 1.4451
Br 3.4793 2.4820 0.0000


R:
4
Lattice="3.0611 0.0000 0.0000 0.0000 3.3781 -0.0039 0.0000 -0.0260 8.9225" Properties=species:S:1:pos:R:3 comment="Mo2BrCl (PBE, relaxed)" crystal_system=monoclinic magnetic_moment_mub_per_cell=0.00 space_group=Pm dos_at_fermi_per_ev_atom=0.6012 pbc="T T T"
Mo 1.5305 1.2633 1.7922
Mo 0.0000 2.9523 0.3539
Cl 1.5305 2.9275 7.3845
Br 0.0000 1.2633 3.8433


The most stable arrangement is R, and the next structure is 1139 meV/atom less stable.


P:
4
Lattice="-4.0150 -0.1010 -2.4281 -1.0806 -3.7601 -2.5923 -3.4800 -2.8508 1.3373" Properties=species:S:1:pos:R:3 comment="Mo2BrCl (PBE, relaxed)" crystal_system=cubic magnetic_moment_mub_per_cell=0.16 space_group=F-43m dos_at_fermi_per_ev_atom=0.8531 pbc="T T T"
Mo 0.0000 0.0000 0.0000
Mo -2.1439 -1.6780 -0.9208
Br -4.2878 -3.3559 -1.8416
Cl -6.4318 -5.0339 -2.7623


Q:
8
Lattice="-1.4003 2.6233 3.0780 1.4120 -2.7351 2.9735 7.3898 3.8183 3.0830" Properties=species:S:1:pos:R:3 comment="Mo2BrCl (PBE, relaxed)" crystal_system=tetragonal magnetic_moment_mub_per_cell=0.00 space_group=I-42d dos_at_fermi_per_ev_atom=0.7333 pbc="T T T"
Br 0.0000 0.0000 0.0000
Br 2.9977 3.1928 4.5934
Mo 5.4479 2.9687 7.3868
Mo 1.2526 2.0577 2.8379
Mo 5.6515 2.6190 4.8021
Mo 2.4511 -0.2324 3.2422
Cl 0.0059 -0.0559 3.0257
Cl 4.4039 0.5136 4.5411


R:
4
Lattice="-0.5952 1.6204 -2.6787 -1.6197 -2.5310 1.0610 -5.4699 5.3722 4.4651" Properties=species:S:1:pos:R:3 comment="Mo2BrCl (PBE, relaxed)" crystal_system=orthorhombic magnetic_moment_mub_per_cell=2.05 space_group=Cmmm dos_at_fermi_per_ev_atom=1.1898 pbc="T T T"
Br -2.4749 0.8877 0.3074
Mo -2.7746 2.7251 2.2649
Mo -5.4303 5.3333 4.4327
Cl -5.2099 3.5739 2.5400


S:
4
Lattice="-2.0290 -0.2744 -2.6825 1.5189 -2.8901 -0.8533 -4.2407 -3.2746 3.5425" Properties=species:S:1:pos:R:3 comment="Mo2BrCl (PBE, relaxed)" crystal_system=tetragonal magnetic_moment_mub_per_cell=0.00 space_group=P4/mmm dos_at_fermi_per_ev_atom=1.0014 pbc="T T T"
Cl -3.4356 -4.0381 0.8890
Mo -2.4255 -1.8730 2.0262
Mo -3.9355 -3.0389 3.2875
Br -1.3152 -2.4009 -0.8822


The most stable arrangement is Q, and the next structure is 258 meV/atom less stable.


P:
4
Lattice="8.5267 -0.0101 -0.0060 7.9930 2.9692 -0.0060 7.9930 1.4317 2.6012" Properties=species:S:1:pos:R:3 comment="Mo2BrCl (PBE, relaxed)" crystal_system=trigonal magnetic_moment_mub_per_cell=0.00 space_group=R-3m dos_at_fermi_per_ev_atom=1.2377 pbc="T T T"
Mo 0.0374 0.0067 0.0040
Mo 12.2190 2.1887 1.2907
Br 6.1282 1.0977 0.6473
Cl 18.3846 3.2931 1.9419


Q:
4
Lattice="4.4742 0.0108 0.0000 -0.0140 4.4743 0.0000 0.0000 0.0000 3.1676" Properties=species:S:1:pos:R:3 comment="Mo2BrCl (PBE, relaxed)" crystal_system=tetragonal magnetic_moment_mub_per_cell=0.00 space_group=P4/mmm dos_at_fermi_per_ev_atom=1.2929 pbc="T T T"
Br 2.2371 0.0054 1.5838
Mo 0.0000 0.0000 0.0000
Mo 2.2301 2.2426 0.0000
Cl -0.0070 2.2372 1.5838


The most stable arrangement is P, and the next structure is 322 meV/atom less stable.